YSiTc | GGA-PBE | optimized geometry

For the uncorrected formation energy, the calculation gives -591 meV per atom. The crystal system is tetragonal. The uncorrected energy comes out at -8.009 eV per atom. The polymorph energy (0 for the lowest one) is 0.02 eV per formula unit.

It has space group I4/mmm (No. 139), with a = 4.041 Å, b = 4.041 Å, c = 14.209 Å, α = 90.00°, β = 90.00° and γ = 90.00°. The asymmetric unit holds Y at (0.000, 0.000, 0.163), Si at (0.000, 0.000, 0.389) and Tc at (0.000, 0.500, 0.000).